Compound: Pr2SmAg4Sn4
Source: OQMD via LeMat-Bulk
Functional: GGA-PBE
Structure: relaxed

a b c (Å): 8.9277 8.9277 8.9277
angles (deg): 149.50 131.43 58.45
Last column: nearest neighbours and their distance in Å.
Sites, in units of the cell vectors:
Pr1 0.1290 0.1290 0.0000  6 Ag 3.30-3.44, 6 Sn 3.40-3.42
Pr2 0.8710 0.8710 0.0000  6 Ag 3.30-3.44, 6 Sn 3.40-3.42
Sm1 0.5000 0.0000 0.5000  6 Sn 3.23-3.32
Ag1 0.1332 0.3295 0.8038  4 Sn 2.77-2.87, 1 Ag 2.88
Ag2 0.4743 0.6705 0.8038  4 Sn 2.77-2.87, 1 Ag 2.88
Ag3 0.5257 0.3295 0.1962  4 Sn 2.77-2.87, 1 Ag 2.88
Ag4 0.8668 0.6705 0.1962  4 Sn 2.77-2.87, 1 Ag 2.88
Sn1 0.1978 0.5000 0.6978  2 Ag 2.77, 1 Sn 2.91
Sn2 0.2867 0.7867 0.5000  6 Ag 2.83-2.87
Sn3 0.7133 0.2133 0.5000  6 Ag 2.83-2.87
Sn4 0.8022 0.5000 0.3022  2 Ag 2.77, 1 Sn 2.91

Computed properties:
- Symmetry: Immm, No. 71
- E: -47.67 eV/cell
- M_tot: 0.00 μB per atom

---

Compound: SmErCu2Sn2
Source: OQMD via LeMat-Bulk
Functional: GGA-PBE
Structure: relaxed

a b c (Å): 4.5404 4.5404 7.3001
angles (deg): 90.00 90.00 120.00
Last column: nearest neighbours and their distance in Å.
Sites, in units of the cell vectors:
Sm1 0.0000 0.0000 0.0000  3 Cu 2.98, 6 Sn 3.13-3.31
Er1 0.0000 0.0000 0.4993  3 Cu 2.93, 6 Sn 3.09-3.25
Cu1 0.3333 0.6667 0.3208  4 Sn 2.69-2.94, 3 Er 2.93
Cu2 0.6667 0.3333 0.8049  3 Sn 2.69, 3 Sm 2.98
Sn1 0.3333 0.6667 0.7233  4 Cu 2.69-2.94
Sn2 0.6667 0.3333 0.2353  3 Cu 2.69

Computed properties:
- Symmetry: P3m1, No. 156
- E: -28.30 eV/cell
- M_tot: 0.00 μB per atom

---

Compound: LuInCoOs
Source: OQMD via LeMat-Bulk
Functional: GGA-PBE
Structure: relaxed

a b c (Å): 4.5888 4.5888 4.5888
angles (deg): 60.00 60.00 60.00
Last column: nearest neighbours and their distance in Å.
Sites, in units of the cell vectors:
Lu1 0.0000 0.0000 0.0000  4 Co 2.81, 4 Os 2.81
In1 0.5000 0.5000 0.5000  4 Os 2.81, 4 Co 2.81
Co1 0.7500 0.7500 0.7500  4 In 2.81, 4 Lu 2.81
Os1 0.2500 0.2500 0.2500  4 In 2.81, 4 Lu 2.81

Computed properties:
- Relative energy among the computed polymorphs: 0.000 eV per atom
- Symmetry: F-43m, No. 216
- M_tot: 0.03 μB per atom

---

Compound: SmPbW
Source: OQMD via LeMat-Bulk
Functional: GGA-PBE
Structure: relaxed

a b c (Å): 4.8841 4.8841 4.8841
angles (deg): 60.00 60.00 60.00
Last column: nearest neighbours and their distance in Å.
Sites, in units of the cell vectors:
Sm1 0.0000 0.0000 0.0000  4 W 2.99
Pb1 0.5000 0.5000 0.5000  4 W 2.99
W1 0.7500 0.7500 0.7500  4 Pb 2.99, 4 Sm 2.99

Computed properties:
- Relative energy among the computed polymorphs: 0.000 eV per atom
- Symmetry: F-43m, No. 216
- M_tot: 0.35 μB per atom

---

Compound: ZrTaB4
Source: OQMD via LeMat-Bulk
Functional: GGA-PBE
Structure: relaxed

a b c (Å): 3.1323 3.1323 6.8602
angles (deg): 90.00 90.00 120.00
Last column: nearest neighbours and their distance in Å.
Sites, in units of the cell vectors:
Zr1 0.0000 0.0000 0.0000  12 B 2.54
Ta1 0.0000 0.0000 0.5000  12 B 2.45
B1 0.3333 0.6667 0.2596  3 B 1.81
B2 0.3333 0.6667 0.7404  3 B 1.81
B3 0.6667 0.3333 0.2596  3 B 1.81
B4 0.6667 0.3333 0.7404  3 B 1.81

Computed properties:
- Symmetry: P6/mmm, No. 191
- E: -52.13 eV/cell
- M_tot: 0.00 μB per atom

---

Compound: Zr4CoAsN2
Source: OQMD via LeMat-Bulk
Functional: GGA-PBE
Structure: relaxed

a b c (Å): 3.3413 3.3413 12.7187
angles (deg): 90.00 90.00 120.00
Last column: nearest neighbours and their distance in Å.
Sites, in units of the cell vectors:
Zr1 0.0000 0.0000 0.1453  3 N 2.33
Zr2 0.0000 0.0000 0.8547  3 N 2.33
Zr3 0.6667 0.3333 0.3478  3 N 2.31
Zr4 0.6667 0.3333 0.6522  3 N 2.31
Co1 0.6667 0.3333 0.0000  6 Zr 2.67
As1 0.0000 0.0000 0.5000  6 Zr 2.73
N1 0.3333 0.6667 0.2479  6 Zr 2.31-2.33
N2 0.3333 0.6667 0.7521  6 Zr 2.31-2.33

Computed properties:
- Symmetry: P-6m2, No. 187
- E: -70.86 eV/cell
- M_tot: 0.04 μB per atom

---

Compound: Zn2InSe3
Source: OQMD via LeMat-Bulk
Functional: GGA-PBE
Structure: relaxed

a b c (Å): 7.3902 7.3902 7.2715
angles (deg): 99.52 99.52 120.16
Last column: nearest neighbours and their distance in Å.
Sites, in units of the cell vectors:
Zn1 0.0825 0.9175 0.5000  4 Se 2.49-2.51
Zn2 0.2473 0.7594 0.0030  4 Se 2.50-2.53
Zn3 0.7594 0.2473 0.5030  4 Se 2.50-2.53
Zn4 0.9175 0.0825 0.0000  4 Se 2.49-2.51
In1 0.4076 0.5884 0.4980  4 Se 2.76-2.82
In2 0.5884 0.4076 0.9980  4 Se 2.76-2.82
Se1 0.0135 0.1759 0.3649  3 Zn 2.50-2.51
Se2 0.1759 0.0135 0.8649  3 Zn 2.50-2.51
Se3 0.3735 0.9118 0.3700  3 Zn 2.50-2.53
Se4 0.5456 0.7411 0.9003  2 Zn 2.49-2.50, 1 In 2.76
Se5 0.7411 0.5456 0.4003  2 Zn 2.49-2.50, 1 In 2.76
Se6 0.9118 0.3735 0.8700  3 Zn 2.50-2.53

Computed properties:
- Symmetry: Cc, No. 9
- E: -37.69 eV/cell

---

Compound: Lu2Cu3Si5
Source: OQMD via LeMat-Bulk
Functional: GGA-PBE
Structure: relaxed

a b c (Å): 7.9680 7.9680 5.6605
angles (deg): 110.71 110.71 89.23
Last column: nearest neighbours and their distance in Å.
Sites, in units of the cell vectors:
Lu1 0.1172 0.3637 0.2400  10 Si 2.91-3.20, 6 Cu 3.00-3.24
Lu2 0.3637 0.1172 0.7400  10 Si 2.91-3.20, 6 Cu 3.00-3.24
Lu3 0.6363 0.8828 0.2600  10 Si 2.91-3.20, 6 Cu 3.00-3.24
Lu4 0.8828 0.6363 0.7600  10 Si 2.91-3.20, 6 Cu 3.00-3.24
Cu1 0.0088 0.7383 0.3725  5 Si 2.26-2.42
Cu2 0.2617 0.9912 0.1275  5 Si 2.26-2.42
Cu3 0.4992 0.5008 0.2500  6 Si 2.40-2.68
Cu4 0.5008 0.4992 0.7500  6 Si 2.40-2.68
Cu5 0.7383 0.0088 0.8725  5 Si 2.26-2.42
Cu6 0.9912 0.2617 0.6275  5 Si 2.26-2.42
Si1 0.0007 0.9993 0.7500  4 Cu 2.42
Si2 0.2377 0.4714 0.8532  3 Cu 2.26-2.40, 2 Si 2.42-2.43
Si3 0.2616 0.7384 0.7500  2 Cu 2.36, 2 Si 2.42
Si4 0.2628 0.7372 0.2500  2 Cu 2.36, 2 Si 2.43
Si5 0.4714 0.2377 0.3532  3 Cu 2.26-2.40, 2 Si 2.42-2.43
Si6 0.5286 0.7623 0.6468  3 Cu 2.26-2.40, 2 Si 2.42-2.43
Si7 0.7372 0.2628 0.7500  2 Cu 2.36, 2 Si 2.43
Si8 0.7384 0.2616 0.2500  2 Cu 2.36, 2 Si 2.42
Si9 0.7623 0.5286 0.1468  3 Cu 2.26-2.40, 2 Si 2.42-2.43
Si10 0.9993 0.0007 0.2500  4 Cu 2.42

Computed properties:
- Symmetry: C2/c, No. 15
- E: -101.74 eV/cell
- M_tot: 0.00 μB per atom

---

Compound: ErLu2Al3CuGe2
Source: OQMD via LeMat-Bulk
Functional: GGA-PBE
Structure: relaxed

a b c (Å): 4.1225 6.9237 6.9237
angles (deg): 120.07 90.00 90.00
Last column: nearest neighbours and their distance in Å.
Sites, in units of the cell vectors:
Er1 0.0000 0.0000 0.0000  1 Cu 2.81, 4 Ge 2.96
Lu1 0.0000 0.1931 0.5967  1 Cu 2.78, 4 Ge 2.94
Lu2 0.0000 0.5967 0.1931  1 Cu 2.78, 4 Ge 2.94
Al1 0.5000 0.3629 0.3629  2 Cu 2.61, 2 Ge 2.73, 2 Al 2.80
Al2 0.5000 0.5955 0.8294  2 Cu 2.63, 2 Ge 2.70-2.73, 2 Al 2.80-2.81
Al3 0.5000 0.8294 0.5955  2 Cu 2.63, 2 Ge 2.70-2.73, 2 Al 2.80-2.81
Cu1 0.0000 0.5935 0.5935  6 Al 2.61-2.63, 2 Lu 2.78, 1 Er 2.81
Ge1 0.5000 0.2648 0.9290  3 Al 2.70-2.73, 4 Lu 2.94, 2 Er 2.96
Ge2 0.5000 0.9290 0.2648  3 Al 2.70-2.73, 4 Lu 2.94, 2 Er 2.96

Computed properties:
- Symmetry: Amm2, No. 38
- E: -43.54 eV/cell
- M_tot: 0.00 μB per atom

---

Compound: LiMg2Cd3
Source: OQMD via LeMat-Bulk
Functional: GGA-PBE
Structure: relaxed

a b c (Å): 5.2819 4.9427 5.3007
angles (deg): 90.00 119.48 90.00
Last column: nearest neighbours and their distance in Å.
Sites, in units of the cell vectors:
Li1 0.0000 0.0000 0.0000  7 Cd 2.98-3.07, 5 Mg 3.03-3.12
Mg1 0.6611 0.0000 0.3231  7 Cd 3.01-3.09, 3 Li 3.03-3.12, 2 Mg 3.10
Mg2 0.6607 0.5000 0.6767  8 Cd 2.99-3.10, 2 Li 3.04, 2 Mg 3.10
Cd1 0.3168 0.5000 0.0043  5 Cd 2.98-3.12, 2 Li 2.98, 5 Mg 3.02-3.10
Cd2 0.3339 0.0000 0.6620  5 Mg 2.99-3.09, 3 Li 3.06-3.07, 4 Cd 3.06-3.09
Cd3 0.9894 0.5000 0.3282  5 Cd 2.98-3.12, 5 Mg 3.01-3.10, 2 Li 3.04

Computed properties:
- Relative energy among the computed polymorphs: 0.015 eV per atom
- Symmetry: Pm, No. 6

---

Compound: Sr3Zn2O5
Source: OQMD via LeMat-Bulk
Functional: GGA-PBE
Structure: relaxed

a b c (Å): 10.5859 10.5859 3.3000
angles (deg): 90.00 90.00 157.59
Last column: nearest neighbours and their distance in Å.
Sites, in units of the cell vectors:
Sr1 0.0000 0.0000 0.0000  8 O 2.60-2.64
Sr2 0.1889 0.8111 0.0000  6 O 2.53-2.64
Sr3 0.8111 0.1889 0.0000  6 O 2.53-2.64
Zn1 0.4025 0.5975 0.5000  4 O 2.00-2.06
Zn2 0.5975 0.4025 0.5000  4 O 2.00-2.06
O1 0.0968 0.9032 0.5000  2 Zn 2.06
O2 0.3062 0.6938 0.5000  1 Zn 2.00
O3 0.5000 0.5000 0.5000  2 Zn 2.02
O4 0.6938 0.3062 0.5000  1 Zn 2.00
O5 0.9032 0.0968 0.5000  2 Zn 2.06

Computed properties:
- Relative energy among the computed polymorphs: 0.069 eV per atom
- Symmetry: Cmmm, No. 65

---

Compound: YFeB2
Source: OQMD via LeMat-Bulk
Functional: GGA-PBE
Structure: relaxed

a b c (Å): 4.1227 4.1227 4.1227
angles (deg): 60.00 60.00 60.00
Last column: nearest neighbours and their distance in Å.
Sites, in units of the cell vectors:
Y1 0.0000 0.0000 0.0000  4 Fe 2.52, 4 B 2.52
Fe1 0.2500 0.2500 0.2500  4 B 2.52, 4 Y 2.52
B1 0.5000 0.5000 0.5000  4 B 2.52, 4 Fe 2.52
B2 0.7500 0.7500 0.7500  4 B 2.52, 4 Y 2.52

Computed properties:
- Symmetry: F-43m, No. 216
- E: -23.98 eV/cell
- M_tot: 0.39 μB per atom